[1]
Zn2CuIr: relaxed, PBE.

Cell lengths 4.3937, 2.8995, 4.5593 Å; angles 90.00, 108.26, 90.00 degrees
With the nearest neighbours (Å) after each atom.
Space group P2/m (No. 10)
Inequivalent atoms, fractional coordinates:
Zn 0.0000 0.0000 0.0000 (multiplicity 1)  2 Cu 2.62, 4 Ir 2.63, 6 Zn 2.70-2.90
Zn 0.0000 0.5000 0.5000 (multiplicity 1)  2 Ir 2.62, 4 Cu 2.63, 6 Zn 2.70-2.90
Cu 0.5000 0.0000 0.5000 (multiplicity 1)  6 Zn 2.62-2.63, 4 Ir 2.70, 2 Cu 2.90
Ir 0.5000 0.5000 0.0000 (multiplicity 1)  6 Zn 2.62-2.63, 4 Cu 2.70, 2 Ir 2.90

## Properties
Spin magnetization   0.0000 μB per atom
Crystal system   monoclinic
E   -3.984 eV per atom


[2]
ZnCu2Ir: relaxed, PBE.

Cell lengths 2.7708, 4.5182, 8.6071 Å; angles 90.00, 90.00, 90.00 degrees
With the nearest neighbours (Å) after each atom.
Space group Cmm2 (No. 35)
Inequivalent atoms, fractional coordinates:
Zn 0.0000 0.0000 0.0000 (multiplicity 2)  2 Cu 2.52, 2 Ir 2.62, 6 Zn 2.65-2.77
Cu 0.0000 0.0000 0.4847 (multiplicity 2)  8 Cu 2.48-2.77, 2 Ir 2.61
Cu 0.0000 0.5000 0.2452 (multiplicity 2)  8 Cu 2.48-2.77, 2 Zn 2.52
Ir 0.0000 0.5000 0.7418 (multiplicity 2)  2 Cu 2.61, 2 Zn 2.62, 6 Ir 2.65-2.77

## Properties
Spin magnetization   0.0000 μB per atom
Crystal system   orthorhombic
E   -4.537 eV per atom